# 1
An optimized crystal structure of Sm3Dy3HoTe8, computed with PBE.

Values from the calculation:
- D(E_F) (states/eV per cell) = 6.9
- formation energy (no corrections) (kJ per mole of atoms) = -134.3
- calculated volume (Å³ per cell) = 475.5

abc: 8.751 8.751 8.771
angles: 119.93 90.00 120.00
Sites, in units of the cell vectors:
1 Te 0.742 0.995 0.748
2 Te 0.252 0.505 0.257
3 Te 0.253 0.506 0.748
4 Te 0.747 0.005 0.252
5 Te 0.748 0.495 0.743
6 Te 0.747 0.494 0.252
7 Te 0.253 0.995 0.748
8 Te 0.258 0.005 0.252
9 Sm 0.000 0.000 0.000
10 Sm 0.000 0.500 0.000
11 Sm 0.500 0.500 0.000
12 Dy 0.500 0.000 0.500
13 Dy 0.000 0.500 0.500
14 Dy 0.500 0.500 0.500
15 Ho 0.000 0.000 0.500

# 2
An optimized crystal structure of ZrMn2HgSe, computed with PBE.

Values from the calculation:
- D(E_F) (states/eV per cell) = 4.2
- formation energy (no corrections) (kJ per mole of atoms) = 86.1
- calculated volume (Å³ per cell) = 133.0

abc: 4.965 5.395 4.965
angles: 90.00 90.00 90.00
Last column: magnetic moment on the atom in μB.
Sites, in units of the cell vectors:
1 Se 0.500 0.500 0.500  0.14
2 Zr 0.000 0.500 0.000  -0.33
3 Hg 0.000 0.000 0.000  0.00
4 Mn 0.000 0.000 0.500  4.30
5 Mn 0.500 0.000 0.000  4.04